Record 1
Below is a relaxed structure of Sr2LiPr, with properties calculated at the GGA-PBE level.

Unit cell a=6.197 b=6.197 c=4.264 alpha=90.00 beta=90.00 gamma=90.00
Sites, in units of the cell vectors:
Sr1 0.000 0.500 0.000
Sr2 0.500 0.000 0.000
Li1 0.000 0.000 0.500
Pr1 0.500 0.500 0.500

Properties
formation enthalpy at 0 K = 0.7 eV/f.u.
total magnetization = 0.00 μB/f.u.

=====

Record 2
Below is a relaxed structure of SrLiPr2, with properties calculated at the GGA-PBE level.

Unit cell a=3.909 b=3.909 c=9.376 alpha=90.00 beta=90.00 gamma=90.00
Sites, in units of the cell vectors:
Sr1 0.000 0.000 0.000
Li1 0.000 0.000 0.500
Pr1 0.500 0.500 0.315
Pr2 0.500 0.500 0.685

Properties
formation enthalpy at 0 K = 0.6 eV/f.u.
total magnetization = 0.00 μB/f.u.

=====

Record 3
Below is a relaxed structure of SrLiPr2, with properties calculated at the GGA-PBE level.

Unit cell a=12.840 b=12.840 c=12.840 alpha=16.30 beta=16.30 gamma=16.30
Sites, in units of the cell vectors:
Sr1 0.000 0.000 0.000
Li1 0.500 0.500 0.500
Pr1 0.096 0.096 0.096
Pr2 0.904 0.904 0.904

Properties
formation enthalpy at 0 K = 1.1 eV/f.u.
total magnetization = 0.00 μB/f.u.

=====

Record 4
Below is a relaxed structure of Sr2LiPr, with properties calculated at the GGA-PBE level.

Unit cell a=12.354 b=12.354 c=12.354 alpha=18.48 beta=18.48 gamma=18.48
Sites, in units of the cell vectors:
Sr1 0.000 0.000 0.000
Sr2 0.175 0.175 0.175
Li1 0.587 0.587 0.587
Pr1 0.421 0.421 0.421

Properties
formation enthalpy at 0 K = 0.6 eV/f.u.
total magnetization = 0.07 μB/f.u.

=====

Record 5
Below is a relaxed structure of Sr2LiPr, with properties calculated at the GGA-PBE level.

Unit cell a=4.134 b=4.134 c=9.429 alpha=90.00 beta=90.00 gamma=90.00
Sites, in units of the cell vectors:
Sr1 0.000 0.000 0.224
Sr2 0.000 0.000 0.776
Li1 0.500 0.500 0.000
Pr1 0.500 0.500 0.500

Properties
formation enthalpy at 0 K = 0.5 eV/f.u.
total magnetization = 0.00 μB/f.u.

=====

Record 6
Below is a relaxed structure of Sr2LiPr, with properties calculated at the GGA-PBE level.

Unit cell a=13.392 b=13.392 c=13.392 alpha=16.43 beta=16.43 gamma=16.43
Sites, in units of the cell vectors:
Sr1 0.093 0.093 0.093
Sr2 0.907 0.907 0.907
Li1 0.500 0.500 0.500
Pr1 0.000 0.000 0.000

Properties
formation enthalpy at 0 K = 1.2 eV/f.u.
total magnetization = 0.62 μB/f.u.

=====

Record 7
Below is a relaxed structure of Sr3LiPr2Te6, with properties calculated at the GGA-PBE level.

Unit cell a=7.976 b=7.976 c=8.022 alpha=99.57 beta=99.57 gamma=119.99
Sites, in units of the cell vectors:
Sr1 0.000 0.000 0.000
Sr2 0.332 0.668 0.000
Sr3 0.668 0.332 0.000
Li1 0.500 0.500 0.500
Pr1 0.166 0.834 0.500
Pr2 0.834 0.166 0.500
Te1 0.094 0.422 0.264
Te2 0.251 0.251 0.737
Te3 0.422 0.094 0.264
Te4 0.578 0.906 0.736
Te5 0.749 0.749 0.263
Te6 0.906 0.578 0.736

Properties
energy relative to the elements, uncorrected = -1.52 eV per atom
total magnetization = 0.00 μB/f.u.

=====

Record 8
Below is a relaxed structure of Sr4LiPr3Te8, with properties calculated at the GGA-PBE level.

Unit cell a=9.268 b=9.268 c=9.268 alpha=59.52 beta=59.52 gamma=59.52
Sites, in units of the cell vectors:
Sr1 0.000 0.000 0.000
Sr2 0.000 0.500 0.500
Sr3 0.500 0.000 0.500
Sr4 0.500 0.500 0.000
Li1 0.500 0.500 0.500
Pr1 0.000 0.000 0.500
Pr2 0.000 0.500 0.000
Pr3 0.500 0.000 0.000
Te1 0.247 0.247 0.247
Te2 0.250 0.743 0.743
Te3 0.257 0.257 0.750
Te4 0.257 0.750 0.257
Te5 0.743 0.250 0.743
Te6 0.743 0.743 0.250
Te7 0.750 0.257 0.257
Te8 0.753 0.753 0.753

Properties
energy relative to the elements, uncorrected = -1.54 eV per atom
total magnetization = 0.00 μB/f.u.

=====

| no. | V (Å³/f.u.) |
| --- | --- |
| 1 | 163.72 |
| 2 | 143.30 |
| 3 | 145.37 |
| 4 | 165.41 |
| 5 | 161.13 |
| 6 | 167.51 |
| 7 | 416.86 |
| 8 | 556.77 |